(i)
KWBr: optimized geometry, GGA-PBE.

a b c (Å): 3.2077 3.2077 7.7485
angles (deg): 90.00 90.00 120.00
With the nearest neighbours (Å) after each atom.
Atoms (fractional coordinates):
K 0.0000 0.0000 0.0000  6 K 3.21, 3 Br 3.45, 3 W 3.46
W 0.6667 0.3333 0.3768  3 Br 2.67
Br 0.3333 0.6667 0.6247  3 W 2.67

N(E_F) (states/eV/atom): 0.861
Spin magnetization (μB/cell): 0.3



(ii)
KWBr: optimized geometry, GGA-PBE.

a b c (Å): 7.6256 7.6256 7.6256
angles (deg): 90.00 90.00 90.00
With the nearest neighbours (Å) after each atom.
Atoms (fractional coordinates):
K 0.0000 0.0000 0.0000  4 Br 3.30
K 0.0000 0.5000 0.5000  4 Br 3.30
K 0.5000 0.0000 0.5000  4 Br 3.30
K 0.5000 0.5000 0.0000  4 Br 3.30
W 0.0000 0.0000 0.5000  4 Br 3.30
W 0.0000 0.5000 0.0000  4 Br 3.30
W 0.5000 0.0000 0.0000  4 Br 3.30
W 0.5000 0.5000 0.5000  4 Br 3.30
Br 0.2500 0.2500 0.7500  4 W 3.30, 4 K 3.30
Br 0.2500 0.7500 0.2500  4 W 3.30, 4 K 3.30
Br 0.7500 0.2500 0.2500  4 W 3.30, 4 K 3.30
Br 0.7500 0.7500 0.7500  4 W 3.30, 4 K 3.30

N(E_F) (states/eV/atom): 1.029
Spin magnetization (μB/cell): 23.3



Most stable: (i)



(i)
KWBr: optimized geometry, GGA-PBE.

a b c (Å): 5.2061 5.2061 3.7467
angles (deg): 90.00 90.00 120.00
With the nearest neighbours (Å) after each atom.
Atoms (fractional coordinates):
K 0.0000 0.0000 0.0000  6 W 3.54, 6 Br 3.54, 2 K 3.75
W 0.6667 0.3333 0.5000  3 Br 3.01
Br 0.3333 0.6667 0.5000  3 W 3.01

N(E_F) (states/eV/atom): 0.519
Spin magnetization (μB/cell): 4.7



(ii)
KWBr: optimized geometry, GGA-PBE.

a b c (Å): 3.3595 5.2779 15.5411
angles (deg): 90.00 90.00 90.00
With the nearest neighbours (Å) after each atom.
Atoms (fractional coordinates):
K 0.0000 0.0000 0.0000  6 K 3.13-3.36, 2 Br 3.17, 2 W 3.41
K 0.0000 0.5000 0.5000  6 K 3.13-3.36, 2 Br 3.17, 2 W 3.41
K 0.5000 0.0000 0.5000  6 K 3.13-3.36, 2 Br 3.17, 2 W 3.41
K 0.5000 0.5000 0.0000  6 K 3.13-3.36, 2 Br 3.17, 2 W 3.41
W 0.0000 0.0000 0.6910  2 Br 2.70
W 0.0000 0.5000 0.1910  2 Br 2.70
W 0.5000 0.0000 0.1910  2 Br 2.70
W 0.5000 0.5000 0.6910  2 Br 2.70
Br 0.0000 0.0000 0.3269  2 W 2.70
Br 0.0000 0.5000 0.8269  2 W 2.70
Br 0.5000 0.0000 0.8269  2 W 2.70
Br 0.5000 0.5000 0.3269  2 W 2.70

N(E_F) (states/eV/atom): 0.457
Spin magnetization (μB/cell): 1.7



Most stable: (ii)



(i)
KWBr: optimized geometry, GGA-PBE.

a b c (Å): 7.8826 7.8826 7.8826
angles (deg): 90.00 90.00 90.00
With the nearest neighbours (Å) after each atom.
Atoms (fractional coordinates):
K 0.0000 0.0000 0.0000  4 W 3.41, 4 Br 3.41
K 0.0000 0.5000 0.5000  4 W 3.41, 4 Br 3.41
K 0.5000 0.0000 0.5000  4 W 3.41, 4 Br 3.41
K 0.5000 0.5000 0.0000  4 W 3.41, 4 Br 3.41
W 0.2500 0.2500 0.2500  4 K 3.41
W 0.2500 0.7500 0.7500  4 K 3.41
W 0.7500 0.2500 0.7500  4 K 3.41
W 0.7500 0.7500 0.2500  4 K 3.41
Br 0.2500 0.2500 0.7500  4 K 3.41
Br 0.2500 0.7500 0.2500  4 K 3.41
Br 0.7500 0.2500 0.2500  4 K 3.41
Br 0.7500 0.7500 0.7500  4 K 3.41

N(E_F) (states/eV/atom): 0.829
Spin magnetization (μB/cell): 23.6



(ii)
KWBr: optimized geometry, GGA-PBE.

a b c (Å): 3.1583 3.1583 14.0027
angles (deg): 90.00 90.00 90.00
With the nearest neighbours (Å) after each atom.
Atoms (fractional coordinates):
K 0.0000 0.0000 0.0000  4 K 3.16, 4 Br 3.49
K 0.5000 0.5000 0.5000  4 K 3.16, 4 Br 3.49
W 0.0000 0.0000 0.6988  4 Br 2.71
W 0.5000 0.5000 0.1988  4 Br 2.71
Br 0.0000 0.0000 0.3087  4 W 2.71
Br 0.5000 0.5000 0.8087  4 W 2.71

N(E_F) (states/eV/atom): 0.453
Spin magnetization (μB/cell): 0.0



Most stable: (ii)



(i)
KWBr4: optimized geometry, GGA-PBE.

a b c (Å): 6.4692 6.4692 6.4692
angles (deg): 60.00 60.00 60.00
With the nearest neighbours (Å) after each atom.
Atoms (fractional coordinates):
K 0.0000 0.0000 0.0000  12 Br 3.80, 4 W 3.96
W 0.7500 0.7500 0.7500  12 Br 3.79, 4 K 3.96
Br 0.3760 0.3760 0.3760  6 Br 3.21-3.26
Br 0.3760 0.3760 0.8719  6 Br 3.21-3.26
Br 0.3760 0.8719 0.3760  6 Br 3.21-3.26
Br 0.8719 0.3760 0.3760  6 Br 3.21-3.26

N(E_F) (states/eV/atom): 1.851
Spin magnetization (μB/cell): 3.6



(ii)
KWBr4: optimized geometry, GGA-PBE.

a b c (Å): 11.4592 11.4592 5.4364
angles (deg): 102.81 102.81 36.46
With the nearest neighbours (Å) after each atom.
Atoms (fractional coordinates):
K 0.2117 0.2117 0.1962  2 Br 3.17-3.18
K 0.7883 0.7883 0.8038  2 Br 3.17-3.18
W 0.4595 0.4595 0.3150  1 W 2.35, 2 Br 2.42
W 0.5405 0.5405 0.6850  1 W 2.35, 2 Br 2.42
Br 0.1392 0.6477 0.3929  1 W 2.42
Br 0.2740 0.7260 0.0000  2 W 2.65
Br 0.2891 0.2891 0.7679  2 K 3.17-3.18
Br 0.3523 0.8608 0.6071  1 W 2.42
Br 0.6477 0.1392 0.3929  1 W 2.42
Br 0.7109 0.7109 0.2321  2 K 3.17-3.18
Br 0.7260 0.2740 0.0000  2 W 2.65
Br 0.8608 0.3523 0.6071  1 W 2.42

Spin magnetization (μB/cell): 0.0



Most stable: (ii)